[1]
First-principles (PBE-GGA) data for CoCu2BiPb after structural relaxation, as listed in Alexandria.

a b c (Å): 4.859 4.859 6.465
angles (deg): 90.00 90.00 90.00
Space group P4/mmm (No. 123)
Unique sites:
Co (0.000, 0.000, 0.000) x1
Cu (0.000, 0.500, 0.500) x2
Bi (0.500, 0.500, 0.500) x1
Pb (0.500, 0.500, 0.000) x1

DOS(E_F) (states/eV per cell): 2.4
Formation energy from the elements (kcal/mol of atoms): 28.623
Total magnetic moment (μB per formula unit): 2.10
Electronic total energy (eV/atom): -3.336
Crystal system: tetragonal

---

[2]
First-principles (PBE-GGA) data for PmCoCuBi after structural relaxation, as listed in Alexandria.

a b c (Å): 6.792 6.792 6.792
angles (deg): 90.00 90.00 90.00
Space group F-43m (No. 216)
Unique sites:
Pm (0.000, 0.000, 0.000) x4
Co (0.250, 0.250, 0.750) x4
Cu (0.250, 0.250, 0.250) x4
Bi (0.000, 0.000, 0.500) x4

DOS(E_F) (states/eV per cell): 14.3
Formation energy from the elements (kcal/mol of atoms): -1.045
Total magnetic moment (μB per formula unit): 0.47
Electronic total energy (eV/atom): -5.004
Crystal system: cubic

---

[3]
First-principles (PBE-GGA) data for CoCuReBi2 after structural relaxation, as listed in Alexandria.

a b c (Å): 5.046 5.046 4.781
angles (deg): 90.00 90.00 90.00
Space group P4/mmm (No. 123)
Unique sites:
Co (0.000, 0.000, 0.000) x1
Cu (0.500, 0.500, 0.500) x1
Re (0.500, 0.500, 0.000) x1
Bi (0.000, 0.500, 0.500) x2

DOS(E_F) (states/eV per cell): 6.0
Formation energy from the elements (kcal/mol of atoms): 37.619
Total magnetic moment (μB per formula unit): 4.69
Electronic total energy (eV/atom): -4.651
Crystal system: tetragonal

---

[4]
First-principles (PBE-GGA) data for VCoCu2Bi after structural relaxation, as listed in Alexandria.

a b c (Å): 4.577 4.577 5.068
angles (deg): 90.00 90.00 90.00
Space group P4/mmm (No. 123)
Unique sites:
V (0.000, 0.000, 0.000) x1
Co (0.500, 0.500, 0.500) x1
Cu (0.000, 0.500, 0.000) x2
Bi (0.000, 0.000, 0.500) x1

DOS(E_F) (states/eV per cell): 5.9
Formation energy from the elements (kcal/mol of atoms): 31.999
Total magnetic moment (μB per formula unit): 3.39
Electronic total energy (eV/atom): -4.272
Crystal system: tetragonal